A plane-wave DFT calculation with PBE-GGA was carried out for crystalline TlNiIr2 at its relaxed geometry.

a = 9.463 Å, b = 9.463 Å, c = 9.463 Å
α = 155.91°, β = 155.91°, γ = 34.33°
Fractional positions:
1 Tl 0.000 0.000 0.000
2 Tl 0.750 0.250 0.500
3 Ni 0.250 0.750 0.500
4 Ni 0.500 0.500 0.000
5 Ir 0.187 0.625 0.062
6 Ir 0.375 0.437 0.562
7 Ir 0.563 0.125 0.938
8 Ir 0.875 0.813 0.438

## Properties
ΔE_f: 0.651 eV per atom
Magnetic moment: 0.00 μB per formula unit
Relative energy among the computed polymorphs: 295 meV per atom

A plane-wave DFT calculation with PBE-GGA was carried out for crystalline TlNiIr2 at its relaxed geometry.

a = 2.931 Å, b = 2.931 Å, c = 7.278 Å
α = 90.00°, β = 90.00°, γ = 90.00°
Fractional positions:
1 Tl 0.000 0.000 0.000
2 Ni 0.000 0.000 0.500
3 Ir 0.500 0.500 0.295
4 Ir 0.500 0.500 0.705

## Properties
ΔE_f: 0.414 eV per atom
Magnetic moment: 0.00 μB per formula unit
Relative energy among the computed polymorphs: 58 meV per atom

A plane-wave DFT calculation with PBE-GGA was carried out for crystalline TlNiIr2 at its relaxed geometry.

a = 8.785 Å, b = 8.785 Å, c = 8.785 Å
α = 19.12°, β = 19.12°, γ = 19.12°
Fractional positions:
1 Tl 0.000 0.000 0.000
2 Ni 0.500 0.500 0.500
3 Ir 0.240 0.240 0.240
4 Ir 0.760 0.760 0.760

## Properties
ΔE_f: 0.518 eV per atom
Magnetic moment: 0.00 μB per formula unit
Relative energy among the computed polymorphs: 162 meV per atom

A plane-wave DFT calculation with PBE-GGA was carried out for crystalline Tl3NiIr at its relaxed geometry.

a = 5.280 Å, b = 5.280 Å, c = 5.280 Å
α = 90.00°, β = 90.00°, γ = 90.00°
Fractional positions:
1 Tl 0.000 0.000 0.500
2 Tl 0.000 0.500 0.000
3 Tl 0.500 0.000 0.000
4 Ni 0.500 0.500 0.500
5 Ir 0.000 0.000 0.000

## Properties
ΔE_f: 0.717 eV per atom
Magnetic moment: 0.87 μB per formula unit
Relative energy among the computed polymorphs: 0 meV per atom